Compound: NdDy2Er3Bi6
Source: the Alexandria database
Functional: PBE
Structure: optimized geometry

The structure in POSCAR format:
```
NdDy2Er3Bi6
1.0
9.7686 -2.2424 0.0000
9.7686 2.2424 0.0000
-2.0464 0.0000 8.7320
Nd Dy Er Bi
1 2 3 6
Direct
0.0000 0.0000 0.0000 Nd
0.3327 0.3327 0.6666 Dy
0.6673 0.6673 0.3334 Dy
0.0000 0.0000 0.5000 Er
0.3346 0.3346 0.1679 Er
0.6654 0.6654 0.8321 Er
0.1661 0.1661 0.5840 Bi
0.1698 0.1698 0.0831 Bi
0.5002 0.5002 0.2577 Bi
0.4998 0.4998 0.7423 Bi
0.8302 0.8302 0.9169 Bi
0.8339 0.8339 0.4160 Bi
```

## Properties
- ΔE_f (eV/atom) = -0.85
- total DFT energy (no corrections) (eV/atom) = -5.09
- magnetization (μB per atom) = 0.00


Compound: TaCl3
Source: the Alexandria database
Functional: PBE
Structure: optimized geometry

The structure in POSCAR format:
```
TaCl3
1.0
3.1490 0.0000 0.0000
-1.5745 2.7271 0.0000
0.0000 0.0000 28.6984
Ta Cl
3 9
Direct
0.0000 0.0000 0.0000 Ta
0.3333 0.6667 0.6667 Ta
0.6667 0.3333 0.3333 Ta
0.0000 0.0000 0.2718 Cl
0.0000 0.0000 0.5000 Cl
0.0000 0.0000 0.7282 Cl
0.3333 0.6667 0.1667 Cl
0.3333 0.6667 0.3948 Cl
0.3333 0.6667 0.9385 Cl
0.6667 0.3333 0.0615 Cl
0.6667 0.3333 0.6052 Cl
0.6667 0.3333 0.8333 Cl
```

## Properties
- total DFT energy (no corrections) (eV/atom) = -4.89
- raw formation energy (meV/atom) = -545
- magnetization (μB per atom) = 0.06


Compound: Cu2BiSeO6
Source: the Alexandria database
Functional: PBE
Structure: optimized geometry

The structure in POSCAR format:
```
Cu2BiSeO6
1.0
4.9542 -5.1228 0.0000
4.9542 5.1228 0.0000
-0.6714 0.0000 5.4138
Cu Bi Se O
4 2 2 12
Direct
0.1409 0.3314 0.2799 Cu
0.3314 0.1409 0.7799 Cu
0.6686 0.8591 0.2201 Cu
0.8591 0.6686 0.7201 Cu
0.1479 0.8521 0.2500 Bi
0.8521 0.1479 0.7500 Bi
0.3461 0.6539 0.7500 Se
0.6539 0.3461 0.2500 Se
0.1310 0.6317 0.8834 O
0.1429 0.1551 0.5242 O
0.1551 0.1429 0.0242 O
0.2101 0.5704 0.4284 O
0.3683 0.8690 0.6166 O
0.4296 0.7899 0.0716 O
0.5704 0.2101 0.9284 O
0.6317 0.1310 0.3834 O
0.7899 0.4296 0.5716 O
0.8449 0.8571 0.9758 O
0.8571 0.8449 0.4758 O
0.8690 0.3683 0.1166 O
```

## Properties
- total DFT energy (no corrections) (eV/atom) = -5.20
- raw formation energy (meV/atom) = -669
- magnetization (μB per atom) = 0.00


Compound: Rb4Br2Cl
Source: the Alexandria database
Functional: PBE
Structure: optimized geometry

The structure in POSCAR format:
```
Rb4Br2Cl
1.0
6.2916 0.0000 0.0000
0.0000 6.2916 0.0000
0.0000 0.0000 17.7192
Rb Br Cl
8 4 2
Direct
0.0000 0.0000 0.1965 Rb
0.0000 0.0000 0.8035 Rb
0.0000 0.5000 0.0000 Rb
0.0000 0.5000 0.5000 Rb
0.5000 0.0000 0.0000 Rb
0.5000 0.0000 0.5000 Rb
0.5000 0.5000 0.3035 Rb
0.5000 0.5000 0.6965 Rb
0.0000 0.0000 0.3853 Br
0.0000 0.0000 0.6147 Br
0.5000 0.5000 0.1147 Br
0.5000 0.5000 0.8853 Br
0.0000 0.0000 0.0000 Cl
0.5000 0.5000 0.5000 Cl
```

## Properties
- total DFT energy (no corrections) (eV/atom) = -2.71
- raw formation energy (meV/atom) = -1420
- magnetization (μB per atom) = 0.00
- offset from the most stable computed form (kcal/mol of atoms) = 2.56